The following is a PBE+U calculation of crystalline MnAg2HF6 at its relaxed geometry, from Alexandria via LeMat-Bulk.

For the final energy, the calculation gives -4.438 eV per atom. The volume is 13.19 A^3/atom.

It has space group P2_1/c (No. 14), with a = 5.2860 Å, b = 4.6329 Å, c = 11.2905 Å, α = 90.00°, β = 107.41° and γ = 90.00°. Symmetry generates all atoms from Mn at (0.0000, 0.0000, 0.0000), Ag at (0.3184, 0.1195, 0.7818), H at (0.5000, 0.0000, 0.5000), F at (0.0633, 0.7255, 0.3732), F at (0.2309, 0.7156, 0.6292) and F at (0.3683, 0.2041, 0.4984).